Here is a relaxed structure of K2Mo from Alexandria. Energies are from GGA-PBE.

Unit cell a=6.2221 b=6.2221 c=6.2221 alpha=60.00 beta=60.00 gamma=60.00
With the nearest neighbours (Å) after each atom.
Fractional positions:
K  0.2500  0.2500  0.2500  4 Mo 3.81
K  0.7500  0.7500  0.7500  4 Mo 3.81
Mo  0.0000  0.0000  0.0000  8 K 3.81

## Properties
- raw total energy (eV/atom) = -2.73
- DOS at the Fermi energy (states/eV/f.u.) = 1.822
- space-group type = Fm-3m
- energy above the lowest structure with this stoichiometry (meV/atom) = 788
- size of the total moment (μB/atom) = 1.8999